(1)
{
  "formula": "HfNpRe4",
  "functional": "PBE",
  "state": "optimized geometry",
  "crystal_system": "cubic",
  "formation_energy_ev_per_atom": -0.025,
  "lattice": [[5.350, 0.000, 0.000], [2.675, 4.633, 0.000], [2.675, 1.544, 4.368]],
  "species": ["Np", "Re", "Re", "Re", "Re", "Hf"],
  "frac_coords": [[0.250, 0.250, 0.250], [0.625, 0.625, 0.124], [0.625, 0.124, 0.625], [0.625, 0.625, 0.625], [0.124, 0.625, 0.625], [0.000, 0.000, 0.000]]
}



(2)
{
  "formula": "Hf2NpRe",
  "functional": "PBE",
  "state": "optimized geometry",
  "crystal_system": "tetragonal",
  "formation_energy_ev_per_atom": 0.261,
  "e_above_lowest_polymorph_mev_per_atom": 199,
  "lattice": [[3.311, 0.000, 0.000], [0.000, 4.855, 0.000], [0.000, 0.000, 4.855]],
  "species": ["Np", "Re", "Hf", "Hf"],
  "frac_coords": [[0.500, 0.500, 0.500], [0.500, 0.000, 0.000], [0.000, 0.000, 0.500], [0.000, 0.500, 0.000]]
}



(3)
{
  "formula": "Hf2NpRe",
  "functional": "PBE",
  "state": "optimized geometry",
  "crystal_system": "tetragonal",
  "formation_energy_ev_per_atom": 0.062,
  "e_above_lowest_polymorph_mev_per_atom": 0,
  "lattice": [[3.238, 0.000, 0.000], [0.000, 3.238, 0.000], [0.000, 0.000, 7.816]],
  "species": ["Np", "Re", "Hf", "Hf"],
  "frac_coords": [[0.500, 0.500, 0.500], [0.500, 0.500, 0.000], [0.000, 0.000, 0.794], [0.000, 0.000, 0.206]]
}



(4)
{
  "formula": "Hf2NpRe",
  "functional": "PBE",
  "state": "optimized geometry",
  "crystal_system": "cubic",
  "formation_energy_ev_per_atom": 0.241,
  "e_above_lowest_polymorph_mev_per_atom": 179,
  "lattice": [[4.792, 0.000, 0.000], [2.396, 4.150, 0.000], [2.396, 1.383, 3.913]],
  "species": ["Np", "Re", "Hf", "Hf"],
  "frac_coords": [[0.000, 0.000, 0.000], [0.500, 0.500, 0.500], [0.250, 0.250, 0.250], [0.750, 0.750, 0.750]]
}



(5)
{
  "formula": "HfNpRh2",
  "functional": "PBE",
  "state": "optimized geometry",
  "crystal_system": "tetragonal",
  "formation_energy_ev_per_atom": -0.528,
  "e_above_lowest_polymorph_mev_per_atom": 0,
  "lattice": [[3.239, 0.000, 0.000], [0.000, 3.239, 0.000], [0.000, 0.000, 7.125]],
  "species": ["Np", "Rh", "Rh", "Hf"],
  "frac_coords": [[0.500, 0.500, 0.500], [0.000, 0.000, 0.782], [0.000, 0.000, 0.218], [0.500, 0.500, 0.000]]
}



(6)
{
  "formula": "HfNpTiRh",
  "functional": "PBE",
  "state": "optimized geometry",
  "crystal_system": "cubic",
  "formation_energy_ev_per_atom": 0.095,
  "lattice": [[4.680, 0.000, 0.000], [2.340, 4.053, 0.000], [2.340, 1.351, 3.821]],
  "species": ["Np", "Rh", "Hf", "Ti"],
  "frac_coords": [[0.750, 0.750, 0.750], [0.250, 0.250, 0.250], [0.500, 0.500, 0.500], [0.000, 0.000, 0.000]]
}



(7)
{
  "formula": "Hf2NpRu",
  "functional": "PBE",
  "state": "optimized geometry",
  "crystal_system": "cubic",
  "formation_energy_ev_per_atom": 0.194,
  "e_above_lowest_polymorph_mev_per_atom": 357,
  "lattice": [[-2.043, -2.198, 3.706], [2.523, -3.066, 2.640], [1.260, 1.161, 4.451]],
  "species": ["Np", "Ru", "Hf", "Hf"],
  "frac_coords": [[0.500, 0.500, 0.500], [0.000, 0.000, 0.000], [0.750, 0.750, 0.750], [0.250, 0.250, 0.250]]
}



(8)
{
  "formula": "Hf2NpRu",
  "functional": "PBE",
  "state": "optimized geometry",
  "crystal_system": "tetragonal",
  "formation_energy_ev_per_atom": -0.163,
  "e_above_lowest_polymorph_mev_per_atom": 0,
  "lattice": [[-2.428, -1.612, -1.306], [1.717, -0.431, -2.659], [2.844, -6.643, 2.913]],
  "species": ["Np", "Ru", "Hf", "Hf"],
  "frac_coords": [[0.500, 0.500, 0.500], [0.500, 0.500, 0.000], [0.000, 0.000, 0.789], [0.000, 0.000, 0.211]]
}



(9)
{
  "formula": "Hf2NpRu",
  "functional": "PBE",
  "state": "optimized geometry",
  "crystal_system": "tetragonal",
  "formation_energy_ev_per_atom": 0.079,
  "e_above_lowest_polymorph_mev_per_atom": 242,
  "lattice": [[-1.140, -0.289, 2.960], [-3.819, -2.567, -1.721], [2.542, -4.165, 0.573]],
  "species": ["Np", "Ru", "Hf", "Hf"],
  "frac_coords": [[0.500, 0.000, 0.000], [0.500, 0.500, 0.500], [0.000, 0.000, 0.500], [0.000, 0.500, 0.000]]
}



(10)
{
  "formula": "HfNpS4",
  "functional": "PBE",
  "state": "optimized geometry",
  "crystal_system": "monoclinic",
  "e_above_lowest_polymorph_mev_per_atom": 0,
  "lattice": [[-3.724, 0.707, 0.414], [-1.419, -5.364, -3.600], [0.281, -5.597, 12.078]],
  "species": ["Hf", "Hf", "Np", "Np", "S", "S", "S", "S", "S", "S", "S", "S"],
  "frac_coords": [[0.500, 0.000, 0.500], [0.000, 0.000, 0.000], [0.000, 0.500, 0.500], [0.500, 0.500, 0.000], [0.500, 0.648, 0.392], [0.000, 0.352, 0.108], [0.500, 0.352, 0.608], [0.000, 0.648, 0.892], [0.000, 0.122, 0.393], [0.500, 0.878, 0.107], [0.000, 0.878, 0.607], [0.500, 0.122, 0.893]]
}



(11)
{
  "formula": "HfNpS4",
  "functional": "PBE",
  "state": "optimized geometry",
  "crystal_system": "orthorhombic",
  "e_above_lowest_polymorph_mev_per_atom": 112,
  "lattice": [[3.904, 0.000, 0.000], [0.000, 6.188, 0.079], [0.000, -0.042, 6.188]],
  "species": ["Hf", "Np", "S", "S", "S", "S"],
  "frac_coords": [[0.500, 0.000, 0.000], [0.000, 0.500, 0.500], [0.000, 0.188, 0.188], [0.000, 0.812, 0.812], [0.500, 0.705, 0.295], [0.500, 0.295, 0.705]]
}



(12)
{
  "formula": "Hf2NpS",
  "functional": "PBE",
  "state": "optimized geometry",
  "crystal_system": "trigonal",
  "dft_energy_ev_per_fu": -37.4,
  "lattice": [[-0.402, -1.772, -2.606], [-2.258, -2.234, -0.069], [-7.241, 5.194, -4.352]],
  "species": ["Np", "S", "Hf", "Hf"],
  "frac_coords": [[0.000, 0.000, 0.000], [0.500, 0.500, 0.500], [0.104, 0.104, 0.689], [0.896, 0.896, 0.311]]
}



(13)
{
  "formula": "HfNpS2",
  "functional": "PBE",
  "state": "optimized geometry",
  "crystal_system": "trigonal",
  "e_above_lowest_polymorph_mev_per_atom": 379,
  "lattice": [[3.489, 0.000, 0.000], [1.744, 3.021, 0.000], [1.744, 1.007, 8.691]],
  "species": ["Np", "S", "S", "Hf"],
  "frac_coords": [[0.000, 0.000, 0.000], [0.107, 0.107, 0.679], [0.893, 0.893, 0.321], [0.500, 0.500, 0.500]]
}



(14)
{
  "formula": "HfNp3S6",
  "functional": "PBE",
  "state": "optimized geometry",
  "crystal_system": "trigonal",
  "dft_energy_ev_per_fu": -87.5,
  "lattice": [[7.759, -0.529, -0.541], [-0.698, 7.745, -0.541], [-0.698, -0.713, 7.731]],
  "species": ["Hf", "Hf", "Np", "Np", "Np", "Np", "Np", "Np", "S", "S", "S", "S", "S", "S", "S", "S", "S", "S", "S", "S"],
  "frac_coords": [[0.000, 0.000, 0.000], [0.500, 0.500, 0.500], [0.371, 0.883, 0.703], [0.883, 0.703, 0.371], [0.297, 0.629, 0.117], [0.703, 0.371, 0.883], [0.117, 0.297, 0.629], [0.629, 0.117, 0.297], [0.320, 0.970, 0.066], [0.030, 0.934, 0.680], [0.575, 0.812, 0.433], [0.934, 0.680, 0.030], [0.433, 0.575, 0.812], [0.188, 0.567, 0.425], [0.812, 0.433, 0.575], [0.567, 0.425, 0.188], [0.066, 0.320, 0.970], [0.425, 0.188, 0.567], [0.970, 0.066, 0.320], [0.680, 0.030, 0.934]]
}



(15)
{
  "formula": "HfNp6S12",
  "functional": "PBE",
  "state": "optimized geometry",
  "crystal_system": "trigonal",
  "dft_energy_ev_per_fu": -163.8,
  "lattice": [[-2.170, -4.918, -5.607], [4.912, -4.616, 3.860], [-6.191, -0.618, 4.651]],
  "species": ["Hf", "Np", "Np", "Np", "Np", "Np", "Np", "S", "S", "S", "S", "S", "S", "S", "S", "S", "S", "S", "S"],
  "frac_coords": [[0.000, 0.000, 0.000], [0.135, 0.305, 0.628], [0.695, 0.372, 0.865], [0.372, 0.865, 0.695], [0.865, 0.695, 0.372], [0.305, 0.628, 0.135], [0.628, 0.135, 0.305], [0.430, 0.178, 0.580], [0.178, 0.580, 0.430], [0.580, 0.430, 0.178], [0.570, 0.822, 0.420], [0.822, 0.420, 0.570], [0.420, 0.570, 0.822], [0.034, 0.934, 0.680], [0.320, 0.966, 0.066], [0.066, 0.320, 0.966], [0.966, 0.066, 0.320], [0.680, 0.034, 0.934], [0.934, 0.680, 0.034]]
}



(16)
{
  "formula": "HfNp6S8",
  "functional": "PBE",
  "state": "optimized geometry",
  "crystal_system": "cubic",
  "dft_energy_ev_per_fu": -141.6,
  "lattice": [[-7.183, 1.379, 2.521], [-1.572, -0.322, 7.568], [-1.547, 6.494, 3.909]],
  "species": ["Hf", "Np", "Np", "Np", "Np", "Np", "Np", "S", "S", "S", "S", "S", "S", "S", "S"],
  "frac_coords": [[0.000, 0.000, 0.000], [0.000, 0.500, 0.500], [0.500, 0.000, 0.000], [0.500, 0.500, 0.000], [0.000, 0.000, 0.500], [0.000, 0.500, 0.000], [0.500, 0.000, 0.500], [0.750, 0.750, 0.750], [0.250, 0.250, 0.250], [0.757, 0.243, 0.243], [0.243, 0.757, 0.757], [0.243, 0.243, 0.757], [0.757, 0.757, 0.243], [0.757, 0.243, 0.757], [0.243, 0.757, 0.243]]
}



(17)
{
  "formula": "Hf2NpS6",
  "functional": "PBE",
  "state": "optimized geometry",
  "crystal_system": "monoclinic",
  "dft_energy_ev_per_fu": -69.7,
  "lattice": [[4.746, 0.000, 0.000], [2.373, 6.438, -0.547], [2.373, 2.023, 6.948]],
  "species": ["Hf", "Hf", "Np", "S", "S", "S", "S", "S", "S"],
  "frac_coords": [[0.177, 0.756, 0.890], [0.823, 0.244, 0.110], [0.000, 0.500, 0.500], [0.746, 0.629, 0.878], [0.254, 0.371, 0.122], [0.966, 0.858, 0.211], [0.366, 0.710, 0.558], [0.034, 0.142, 0.789], [0.634, 0.290, 0.442]]
}



(18)
{
  "formula": "Hf3Np2S8",
  "functional": "PBE",
  "state": "optimized geometry",
  "crystal_system": "monoclinic",
  "dft_energy_ev_per_fu": -107.4,
  "lattice": [[-0.745, 1.916, -5.990], [7.267, -0.280, -0.993], [-3.883, -6.685, 0.601]],
  "species": ["Hf", "Hf", "Hf", "Np", "Np", "S", "S", "S", "S", "S", "S", "S", "S"],
  "frac_coords": [[0.500, 0.000, 0.000], [0.000, 0.257, 0.000], [0.000, 0.743, 0.000], [0.671, 0.750, 0.499], [0.329, 0.250, 0.501], [0.080, 0.387, 0.774], [0.920, 0.613, 0.226], [0.095, 0.888, 0.776], [0.905, 0.112, 0.224], [0.410, 0.868, 0.226], [0.410, 0.359, 0.226], [0.590, 0.641, 0.774], [0.590, 0.132, 0.774]]
}



(19)
{
  "formula": "HfNp4S5",
  "functional": "PBE",
  "state": "optimized geometry",
  "crystal_system": "monoclinic",
  "dft_energy_ev_per_fu": -95.8,
  "lattice": [[3.752, 0.000, 0.857], [1.576, 6.229, 1.744], [0.018, 0.059, 8.562]],
  "species": ["Hf", "Np", "Np", "Np", "Np", "S", "S", "S", "S", "S"],
  "frac_coords": [[0.000, 0.000, 0.000], [0.603, 0.195, 0.598], [0.199, 0.408, 0.194], [0.801, 0.592, 0.806], [0.397, 0.805, 0.402], [0.195, 0.898, 0.712], [0.805, 0.102, 0.288], [0.407, 0.281, 0.905], [0.000, 0.500, 0.500], [0.593, 0.719, 0.095]]
}



(20)
{
  "formula": "HfNp2S4",
  "functional": "PBE",
  "state": "optimized geometry",
  "crystal_system": "orthorhombic",
  "dft_energy_ev_per_fu": -61.3,
  "lattice": [[-2.745, -0.824, -2.179], [-1.752, -2.391, 6.084], [-5.638, 11.315, 2.824]],
  "species": ["Hf", "Hf", "Np", "Np", "Np", "Np", "S", "S", "S", "S", "S", "S", "S", "S"],
  "frac_coords": [[0.634, 0.269, 0.750], [0.366, 0.731, 0.250], [0.134, 0.267, 0.425], [0.866, 0.733, 0.925], [0.134, 0.267, 0.075], [0.866, 0.733, 0.575], [0.786, 0.573, 0.127], [0.786, 0.573, 0.373], [0.214, 0.427, 0.873], [0.214, 0.427, 0.627], [0.989, 0.978, 0.750], [0.011, 0.022, 0.250], [0.500, 0.000, 0.000], [0.500, 0.000, 0.500]]
}